Below is an optimized crystal structure of LiSi3Sb, with properties calculated at the GGA-PBEsol level.

Values from the calculation:
The value obtained for the density is 2.587 g cm⁻³. Its volume is 136.7 Å³ per cell. The calculation puts the energy relative to the elements, uncorrected at 1.14 eV/atom.

Unit cell a=5.1511 b=5.1511 c=5.1511 alpha=90.00 beta=90.00 gamma=90.00
Last column: nearest neighbours and their distance in Å.
Fractional coordinates of all 5 atoms:
1 Li 0.0000 0.0000 0.0000  12 Si 3.64
2 Si 0.0000 0.5000 0.5000  2 Sb 2.58
3 Si 0.5000 0.0000 0.5000  2 Sb 2.58
4 Si 0.5000 0.5000 0.0000  2 Sb 2.58
5 Sb 0.5000 0.5000 0.5000  6 Si 2.58

=====

Below is an optimized crystal structure of MnAs5, with properties calculated at the GGA-PBEsol level.

Values from the calculation:
The value obtained for the density is 6.001 g cm⁻³. Its volume is 118.9 Å³ per cell. The value obtained for the formation enthalpy at 0 K is 53 meV per atom.

Unit cell a=7.3623 b=7.3623 c=4.4701 alpha=90.00 beta=90.00 gamma=150.62
Last column: nearest neighbours and their distance in Å.
Fractional coordinates of all 6 atoms:
1 Mn 0.0000 0.0000 0.0000  6 As 2.24-2.39
2 As 0.0000 0.0000 0.5000  2 Mn 2.24
3 As 0.3071 0.6929 0.5000  4 As 2.48-2.56
4 As 0.3953 0.6047 0.0000  2 Mn 2.39, 2 As 2.56
5 As 0.6047 0.3953 0.0000  2 Mn 2.39, 2 As 2.56
6 As 0.6929 0.3071 0.5000  4 As 2.48-2.56

=====

Below is an optimized crystal structure of YPSe2, with properties calculated at the GGA-PBEsol level.

Values from the calculation:
The value obtained for the density is 4.736 g cm⁻³. Its volume is 97.4 Å³ per cell. The calculation puts the energy relative to the elements, uncorrected at -0.75 eV/atom.

Unit cell a=7.0362 b=7.0362 c=7.0362 alpha=34.06 beta=34.06 gamma=34.06
Last column: nearest neighbours and their distance in Å.
Fractional coordinates of all 4 atoms:
1 Y 0.0000 0.0000 0.0000  3 Se 2.78, 3 P 3.01
2 P 0.7595 0.7595 0.7595  3 Se 2.44
3 Se 0.2606 0.2606 0.2606  3 Y 2.78
4 Se 0.4541 0.4541 0.4541  3 P 2.44

=====

Below is an optimized crystal structure of RbMgB3, with properties calculated at the GGA-PBEsol level.

Values from the calculation:
The value obtained for the density is 2.361 g cm⁻³. Its volume is 100.0 Å³ per cell. The value obtained for the formation enthalpy at 0 K is 3131 meV per atom.

Unit cell a=4.6420 b=4.6420 c=4.6420 alpha=90.00 beta=90.00 gamma=90.00
Last column: nearest neighbours and their distance in Å.
Fractional coordinates of all 5 atoms:
1 Rb 0.0000 0.0000 0.0000  6 B 2.32
2 Mg 0.5000 0.5000 0.5000  12 B 3.28
3 B 0.0000 0.0000 0.5000  2 Rb 2.32
4 B 0.0000 0.5000 0.0000  2 Rb 2.32
5 B 0.5000 0.0000 0.0000  2 Rb 2.32

=====

Below is an optimized crystal structure of Mg2PdAu, with properties calculated at the GGA-PBEsol level.

Values from the calculation:
The value obtained for the density is 8.937 g cm⁻³. Its volume is 65.4 Å³ per cell. The value obtained for the formation enthalpy at 0 K is -650 meV per atom.

Unit cell a=4.5224 b=4.5224 c=4.5224 alpha=60.00 beta=60.00 gamma=60.00
Last column: nearest neighbours and their distance in Å.
Fractional coordinates of all 4 atoms:
1 Mg 0.2500 0.2500 0.2500  4 Au 2.77, 4 Pd 2.77
2 Mg 0.7500 0.7500 0.7500  4 Pd 2.77, 4 Au 2.77
3 Pd 0.0000 0.0000 0.0000  8 Mg 2.77
4 Au 0.5000 0.5000 0.5000  8 Mg 2.77

=====

Below is an optimized crystal structure of Fe2MoO4, with properties calculated at the GGA-PBEsol level.

Values from the calculation:
The value obtained for the density is 6.001 g cm⁻³. Its volume is 150.3 Å³ per cell. The calculation puts the energy relative to the elements, uncorrected at -1.29 eV/atom.

Unit cell a=6.0018 b=6.0018 c=6.0018 alpha=123.67 beta=118.10 gamma=88.55
Last column: nearest neighbours and their distance in Å.
Fractional coordinates of all 14 atoms:
1 Fe 0.0000 0.0000 0.0000  6 O 2.08-2.18
2 Fe 0.3736 0.6236 0.7500  4 O 1.90-1.91
3 Fe 0.5000 0.0000 0.5000  6 O 2.08-2.18
4 Fe 0.6264 0.3764 0.2500  4 O 1.90-1.91
5 Mo 0.0000 0.0000 0.5000  6 O 1.99-2.07
6 Mo 0.0000 0.5000 0.0000  6 O 1.99-2.07
7 O 0.2316 0.2249 0.4933  3 Fe 1.90-2.08, 1 Mo 1.99
8 O 0.2316 0.7383 0.0067  3 Fe 1.90-2.08, 1 Mo 1.99
9 O 0.2403 0.7469 0.4934  1 Fe 1.91, 2 Mo 2.07
10 O 0.2465 0.2531 0.9934  1 Fe 1.91, 2 Mo 2.07
11 O 0.7535 0.7469 0.0066  1 Fe 1.91, 2 Mo 2.07
12 O 0.7597 0.2531 0.5066  1 Fe 1.91, 2 Mo 2.07
13 O 0.7684 0.2617 0.9933  3 Fe 1.90-2.08, 1 Mo 1.99
14 O 0.7684 0.7751 0.5067  3 Fe 1.90-2.08, 1 Mo 1.99

=====

Below is an optimized crystal structure of AlSeCl2, with properties calculated at the GGA-PBEsol level.

Values from the calculation:
The value obtained for the density is 2.751 g cm⁻³. Its volume is 106.8 Å³ per cell. The value obtained for the offset from the most stable computed form is 0.000 eV/f.u. The calculation puts the energy relative to the elements, uncorrected at -0.60 eV/atom.

Unit cell a=6.6363 b=6.6363 c=6.6363 alpha=150.41 beta=131.84 gamma=57.54
Last column: nearest neighbours and their distance in Å.
Fractional coordinates of all 4 atoms:
1 Al 0.0000 0.0000 0.0000  2 Se 2.35, 2 Cl 2.36
2 Se 0.8596 0.3596 0.5000  2 Al 2.35
3 Cl 0.1413 0.6413 0.5000  2 Al 2.36
4 Cl 0.4176 0.4176 0.0000  2 Se 2.79

=====

Below is an optimized crystal structure of TcTe2Pt, with properties calculated at the GGA-PBEsol level.

Values from the calculation:
The value obtained for the density is 11.860 g cm⁻³. Its volume is 76.8 Å³ per cell. The value obtained for the offset from the most stable computed form is 0.000 eV/f.u. The calculation puts the energy relative to the elements, uncorrected at 0.17 eV/atom.

Unit cell a=7.9945 b=7.9945 c=7.9945 alpha=24.42 beta=24.42 gamma=24.42
Last column: nearest neighbours and their distance in Å.
Fractional coordinates of all 4 atoms:
1 Tc 0.0000 0.0000 0.0000  6 Te 2.73
2 Te 0.2513 0.2513 0.2513  3 Tc 2.73, 3 Pt 2.77
3 Te 0.7487 0.7487 0.7487  3 Tc 2.73, 3 Pt 2.77
4 Pt 0.5000 0.5000 0.5000  6 Te 2.77

=====

Below is an optimized crystal structure of SiSbP2Cl, with properties calculated at the GGA-PBEsol level.

Values from the calculation:
The value obtained for the density is 3.298 g cm⁻³. Its volume is 124.5 Å³ per cell. The calculation puts the energy relative to the elements, uncorrected at 1.01 eV/atom.

Unit cell a=5.0146 b=5.0146 c=4.9505 alpha=90.00 beta=90.00 gamma=90.00
Last column: nearest neighbours and their distance in Å.
Fractional coordinates of all 5 atoms:
1 Si 0.0000 0.0000 0.0000  8 P 3.52, 4 Cl 3.55
2 Sb 0.5000 0.5000 0.5000  2 Cl 2.48, 4 P 2.51
3 P 0.0000 0.5000 0.5000  2 Sb 2.51
4 P 0.5000 0.0000 0.5000  2 Sb 2.51
5 Cl 0.5000 0.5000 0.0000  2 Sb 2.48

=====

Below is an optimized crystal structure of BeSb2Br, with properties calculated at the GGA-PBEsol level.

Values from the calculation:
The value obtained for the density is 5.389 g cm⁻³. Its volume is 102.4 Å³ per cell. The value obtained for the offset from the most stable computed form is 0.000 eV/f.u. The calculation puts the energy relative to the elements, uncorrected at 0.21 eV/atom.

Unit cell a=3.2950 b=3.5770 c=8.6909 alpha=90.00 beta=90.00 gamma=90.00
Last column: nearest neighbours and their distance in Å.
Fractional coordinates of all 4 atoms:
1 Be 0.0000 0.0000 0.0000  5 Sb 2.41-2.54
2 Sb 0.0000 0.0000 0.7227  1 Be 2.41
3 Sb 0.5000 0.5000 0.0858  1 Br 2.53, 4 Be 2.54
4 Br 0.5000 0.5000 0.3766  1 Sb 2.53

=====

Below is an optimized crystal structure of La8Al7GaO24, with properties calculated at the GGA-PBEsol level.

Values from the calculation:
The value obtained for the density is 6.725 g cm⁻³. Its volume is 433.0 Å³ per cell. The calculation puts the energy relative to the elements, uncorrected at -3.29 eV/atom.

Unit cell a=7.5656 b=7.5656 c=7.5656 alpha=90.00 beta=90.00 gamma=90.00
Last column: nearest neighbours and their distance in Å.
Fractional coordinates of all 40 atoms:
1 La 0.2494 0.2494 0.2494  12 O 2.67-2.68
2 La 0.2494 0.2494 0.7506  12 O 2.67-2.68
3 La 0.2494 0.7506 0.2494  12 O 2.67-2.68
4 La 0.2494 0.7506 0.7506  12 O 2.67-2.68
5 La 0.7506 0.2494 0.2494  12 O 2.67-2.68
6 La 0.7506 0.2494 0.7506  12 O 2.67-2.68
7 La 0.7506 0.7506 0.2494  12 O 2.67-2.68
8 La 0.7506 0.7506 0.7506  12 O 2.67-2.68
9 Al 0.0000 0.0000 0.0000  6 O 1.89
10 Al 0.0000 0.0000 0.5000  6 O 1.89
11 Al 0.0000 0.5000 0.0000  6 O 1.89
12 Al 0.0000 0.5000 0.5000  6 O 1.85-1.90
13 Al 0.5000 0.0000 0.0000  6 O 1.89
14 Al 0.5000 0.0000 0.5000  6 O 1.85-1.90
15 Al 0.5000 0.5000 0.0000  6 O 1.85-1.90
16 Ga 0.5000 0.5000 0.5000  6 O 1.93
17 O 0.0000 0.0000 0.2497  2 Al 1.89
18 O 0.0000 0.0000 0.7503  2 Al 1.89
19 O 0.0000 0.2494 0.5000  2 Al 1.89-1.90
20 O 0.0000 0.2497 0.0000  2 Al 1.89
21 O 0.0000 0.5000 0.2494  2 Al 1.89-1.90
22 O 0.0000 0.5000 0.7506  2 Al 1.89-1.90
23 O 0.0000 0.7503 0.0000  2 Al 1.89
24 O 0.0000 0.7506 0.5000  2 Al 1.89-1.90
25 O 0.2447 0.5000 0.5000  1 Al 1.85, 1 Ga 1.93
26 O 0.2494 0.0000 0.5000  2 Al 1.89-1.90
27 O 0.2494 0.5000 0.0000  2 Al 1.89-1.90
28 O 0.2497 0.0000 0.0000  2 Al 1.89
29 O 0.5000 0.0000 0.2494  2 Al 1.89-1.90
30 O 0.5000 0.0000 0.7506  2 Al 1.89-1.90
31 O 0.5000 0.2447 0.5000  1 Al 1.85, 1 Ga 1.93
32 O 0.5000 0.2494 0.0000  2 Al 1.89-1.90
33 O 0.5000 0.5000 0.2447  1 Al 1.85, 1 Ga 1.93
34 O 0.5000 0.5000 0.7553  1 Al 1.85, 1 Ga 1.93
35 O 0.5000 0.7506 0.0000  2 Al 1.89-1.90
36 O 0.5000 0.7553 0.5000  1 Al 1.85, 1 Ga 1.93
37 O 0.7503 0.0000 0.0000  2 Al 1.89
38 O 0.7506 0.0000 0.5000  2 Al 1.89-1.90
39 O 0.7506 0.5000 0.0000  2 Al 1.89-1.90
40 O 0.7553 0.5000 0.5000  1 Al 1.85, 1 Ga 1.93

=====

Below is an optimized crystal structure of Li3In, with properties calculated at the GGA-PBEsol level.

Values from the calculation:
The value obtained for the density is 3.059 g cm⁻³. Its volume is 73.6 Å³ per cell. The value obtained for the offset from the most stable computed form is 0.215 eV/f.u. The value obtained for the formation enthalpy at 0 K is -206 meV per atom.

Unit cell a=5.3748 b=5.3748 c=5.3748 alpha=116.50 beta=116.50 gamma=116.50
Last column: nearest neighbours and their distance in Å.
Fractional coordinates of all 4 atoms:
1 Li 0.0000 0.5000 0.5000  6 Li 2.83-3.05, 2 In 2.83
2 Li 0.5000 0.0000 0.5000  2 In 2.83, 6 Li 2.83-3.05
3 Li 0.5000 0.5000 0.0000  6 Li 2.83-3.05, 2 In 2.83
4 In 0.0000 0.0000 0.0000  6 Li 2.83, 2 In 3.05